[1]
A plane-wave DFT calculation with PBE-GGA was carried out for a relaxed NaBeSe2N crystal.

abc: 5.158 5.158 4.243
angles: 90.00 90.00 90.00
Fractional positions:
Na 0.000 0.000 0.000
Be 0.500 0.500 0.500
Se 0.000 0.500 0.000
Se 0.500 0.000 0.000
N 0.000 0.000 0.500

Computed properties:
- Energy: -2.454 eV per atom
- ΔE to the lowest computed polymorph: 149.14 kJ/mol of atoms
- D(E_F): 3.51 states/eV/f.u.
- Energy relative to the elements, uncorrected: 156 kJ per mole of atoms


[2]
A plane-wave DFT calculation with PBE-GGA was carried out for a relaxed NaBeSeN2 crystal.

abc: 4.195 4.195 5.702
angles: 90.00 90.00 90.00
Fractional positions:
Na 0.000 0.000 0.000
Be 0.500 0.500 0.500
Se 0.000 0.000 0.500
N 0.000 0.500 0.000
N 0.500 0.000 0.000

Computed properties:
- Energy: -2.850 eV per atom
- ΔE to the lowest computed polymorph: 116.75 kJ/mol of atoms
- D(E_F): 1.95 states/eV/f.u.
- Energy relative to the elements, uncorrected: 211 kJ per mole of atoms


[3]
A plane-wave DFT calculation with PBE-GGA was carried out for a relaxed NaSr2BeN2 crystal.

abc: 5.611 5.611 5.611
angles: 124.46 124.46 82.43
Fractional positions:
Na 0.000 0.000 0.000
Sr 0.250 0.750 0.500
Sr 0.750 0.250 0.500
Be 0.500 0.500 0.000
N 0.313 0.313 0.000
N 0.687 0.687 0.000

Computed properties:
- Energy: -4.673 eV per atom
- D(E_F): 1.26 states/eV/f.u.
- Energy relative to the elements, uncorrected: -48 kJ per mole of atoms


[4]
A plane-wave DFT calculation with PBE-GGA was carried out for a relaxed NaTaBeN3 crystal.

abc: 6.944 3.116 7.032
angles: 90.00 106.45 90.00
Fractional positions:
Na 0.193 0.250 0.223
Na 0.807 0.750 0.777
Ta 0.334 0.750 0.833
Ta 0.666 0.250 0.167
Be 0.078 0.250 0.595
Be 0.922 0.750 0.405
N 0.143 0.250 0.851
N 0.168 0.750 0.538
N 0.457 0.750 0.151
N 0.543 0.250 0.849
N 0.832 0.250 0.462
N 0.857 0.750 0.149

Computed properties:
- Energy: -7.592 eV per atom
- D(E_F): 2.89 states/eV/f.u.
- Energy relative to the elements, uncorrected: -59 kJ per mole of atoms


[5]
A plane-wave DFT calculation with PBE-GGA was carried out for a relaxed NaBeTe2N crystal.

abc: 5.739 5.739 3.120
angles: 90.00 90.00 90.00
Fractional positions:
Na 0.000 0.000 0.000
Be 0.500 0.500 0.500
Te 0.000 0.500 0.500
Te 0.500 0.000 0.500
N 0.500 0.500 0.000

Computed properties:
- Energy: -3.902 eV per atom
- ΔE to the lowest computed polymorph: 0.00 kJ/mol of atoms
- D(E_F): 3.17 states/eV/f.u.
- Energy relative to the elements, uncorrected: 3 kJ per mole of atoms


[6]
A plane-wave DFT calculation with PBE-GGA was carried out for a relaxed NaBeTe2N crystal.

abc: 5.437 5.437 4.086
angles: 90.00 90.00 90.00
Fractional positions:
Na 0.000 0.000 0.000
Be 0.500 0.500 0.500
Te 0.000 0.500 0.000
Te 0.500 0.000 0.000
N 0.000 0.000 0.500

Computed properties:
- Energy: -2.232 eV per atom
- ΔE to the lowest computed polymorph: 161.12 kJ/mol of atoms
- D(E_F): 5.34 states/eV/f.u.
- Energy relative to the elements, uncorrected: 164 kJ per mole of atoms


[7]
A plane-wave DFT calculation with PBE-GGA was carried out for a relaxed NaBeTe2N crystal.

abc: 4.891 4.891 5.739
angles: 90.00 90.00 90.00
Fractional positions:
Na 0.000 0.000 0.000
Be 0.000 0.000 0.500
Te 0.000 0.500 0.500
Te 0.500 0.000 0.500
N 0.500 0.500 0.000

Computed properties:
- Energy: -2.909 eV per atom
- ΔE to the lowest computed polymorph: 95.77 kJ/mol of atoms
- D(E_F): 2.87 states/eV/f.u.
- Energy relative to the elements, uncorrected: 99 kJ per mole of atoms


[8]
A plane-wave DFT calculation with PBE-GGA was carried out for a relaxed Na4U3BeN8 crystal.

abc: 6.922 6.922 6.743
angles: 118.99 118.99 56.86
Fractional positions:
Na 0.000 0.000 0.000
Na 0.000 0.500 0.000
Na 0.500 0.000 0.000
Na 0.500 0.500 0.000
U 0.000 0.000 0.500
U 0.000 0.500 0.500
U 0.500 0.000 0.500
Be 0.500 0.500 0.500
N 0.223 0.711 0.665
N 0.224 0.224 0.688
N 0.237 0.237 0.289
N 0.289 0.777 0.335
N 0.711 0.223 0.665
N 0.763 0.763 0.711
N 0.776 0.776 0.312
N 0.777 0.289 0.335

Computed properties:
- Energy: -7.619 eV per atom
- Energy relative to the elements, uncorrected: -75 kJ per mole of atoms


[9]
A plane-wave DFT calculation with PBE-GGA was carried out for a relaxed Na2Be2WN4 crystal.

abc: 5.778 5.778 5.986
angles: 110.66 110.66 30.48
Fractional positions:
Na 0.135 0.135 0.051
Na 0.865 0.865 0.949
Be 0.322 0.322 0.526
Be 0.678 0.678 0.474
W 0.000 0.000 0.500
N 0.198 0.198 0.637
N 0.483 0.483 0.717
N 0.517 0.517 0.283
N 0.802 0.802 0.363

Computed properties:
- Energy: -6.816 eV per atom
- Energy relative to the elements, uncorrected: -54 kJ per mole of atoms


[10]
A plane-wave DFT calculation with PBE-GGA was carried out for a relaxed NaYBe2N crystal.

abc: 4.970 4.970 6.320
angles: 90.00 90.00 90.00
Fractional positions:
Na 0.000 0.000 0.000
Y 0.000 0.000 0.500
Be 0.000 0.500 0.500
Be 0.500 0.000 0.500
N 0.500 0.500 0.000

Computed properties:
- Energy: -2.116 eV per atom
- D(E_F): 4.51 states/eV/f.u.
- Energy relative to the elements, uncorrected: 250 kJ per mole of atoms


[11]
A plane-wave DFT calculation with PBE-GGA was carried out for a relaxed BeNbN3 crystal.

abc: 3.440 3.440 3.440
angles: 90.00 90.00 90.00
Fractional positions:
Be 0.000 0.000 0.000
Nb 0.500 0.500 0.500
N 0.000 0.000 0.500
N 0.000 0.500 0.000
N 0.500 0.000 0.000

Computed properties:
- Energy: -7.221 eV per atom
- D(E_F): 2.63 states/eV/f.u.
- Energy relative to the elements, uncorrected: 52 kJ per mole of atoms


[12]
A plane-wave DFT calculation with PBE-GGA was carried out for a relaxed Be2Nb4N crystal.

abc: 7.283 7.283 7.283
angles: 148.02 148.02 45.86
Fractional positions:
Be 0.136 0.136 0.000
Be 0.864 0.864 0.000
Nb 0.000 0.500 0.500
Nb 0.327 0.327 0.000
Nb 0.500 0.000 0.500
Nb 0.673 0.673 0.000
N 0.500 0.500 0.000

Computed properties:
- Energy: -7.989 eV per atom
- D(E_F): 6.08 states/eV/f.u.
- Energy relative to the elements, uncorrected: 2 kJ per mole of atoms


Number 6 is which compound? NaBeTe2N